Entry from Alexandria via LeMat-Bulk: a relaxed structure of Cs3P6N11 (PBE-GGA).

Lattice parameters (Å, degrees): 10.7640 10.7640 10.7640 90.00 90.00 90.00
Sites, in units of the cell vectors:
P1 0.2078 0.9316 0.6994
P2 0.5422 0.0506 0.8184
P3 0.4578 0.5506 0.6816
P4 0.5506 0.6816 0.4578
P5 0.9316 0.6994 0.2078
P6 0.0684 0.1994 0.2922
P7 0.0422 0.4494 0.1816
P8 0.8006 0.7922 0.4316
P9 0.4494 0.1816 0.0422
P10 0.6816 0.4578 0.5506
P11 0.3006 0.7078 0.5684
P12 0.9578 0.9494 0.3184
P13 0.3184 0.9578 0.9494
P14 0.2922 0.0684 0.1994
P15 0.0506 0.8184 0.5422
P16 0.7078 0.5684 0.3006
P17 0.5684 0.3006 0.7078
P18 0.1816 0.0422 0.4494
P19 0.9494 0.3184 0.9578
P20 0.4316 0.8006 0.7922
P21 0.1994 0.2922 0.0684
P22 0.7922 0.4316 0.8006
P23 0.8184 0.5422 0.0506
P24 0.6994 0.2078 0.9316
N1 0.4326 0.1250 0.1826
N2 0.1826 0.4326 0.1250
N3 0.3346 0.2748 0.0078
N4 0.6654 0.7748 0.4922
N5 0.6250 0.3174 0.5674
N6 0.7578 0.5248 0.9154
N7 0.0846 0.2578 0.9752
N8 0.0674 0.8750 0.6826
N9 0.5248 0.9154 0.7578
N10 0.9154 0.7578 0.5248
N11 0.4154 0.7422 0.4752
N12 0.7422 0.4752 0.4154
N13 0.9922 0.8346 0.2252
N14 0.4752 0.4154 0.7422
N15 0.0248 0.5846 0.2422
N16 0.3174 0.5674 0.6250
N17 0.5577 0.5577 0.5577
N18 0.4423 0.0577 0.9423
N19 0.6826 0.0674 0.8750
N20 0.5078 0.1654 0.7252
N21 0.2578 0.9752 0.0846
N22 0.8077 0.6923 0.3077
N23 0.6923 0.3077 0.8077
N24 0.2748 0.0078 0.3346
N25 0.8750 0.6826 0.0674
N26 0.3750 0.8174 0.9326
N27 0.0078 0.3346 0.2748
N28 0.5846 0.2422 0.0248
N29 0.2252 0.9922 0.8346
N30 0.8346 0.2252 0.9922
N31 0.1923 0.1923 0.1923
N32 0.3077 0.8077 0.6923
N33 0.4922 0.6654 0.7748
N34 0.7252 0.5078 0.1654
N35 0.0577 0.9423 0.4423
N36 0.5674 0.6250 0.3174
N37 0.9752 0.0846 0.2578
N38 0.2422 0.0248 0.5846
N39 0.7748 0.4922 0.6654
N40 0.8174 0.9326 0.3750
N41 0.1250 0.1826 0.4326
N42 0.9423 0.4423 0.0577
N43 0.9326 0.3750 0.8174
N44 0.1654 0.7252 0.5078
Cs1 0.3750 0.3750 0.3750
Cs2 0.0198 0.4802 0.5198
Cs3 0.8750 0.1250 0.6250
Cs4 0.1250 0.6250 0.8750
Cs5 0.5198 0.0198 0.4802
Cs6 0.7698 0.7698 0.7698
Cs7 0.7302 0.2302 0.2698
Cs8 0.2302 0.2698 0.7302
Cs9 0.6250 0.8750 0.1250
Cs10 0.4802 0.5198 0.0198
Cs11 0.9802 0.9802 0.9802
Cs12 0.2698 0.7302 0.2302

Summary:
Formation energy from raw total energies ... -0.61 eV/atom
VASP energy ... -0.50974 Ry per atom

Entry from Alexandria via LeMat-Bulk: a relaxed structure of MnIn2Si (PBE-GGA).

Lattice parameters (Å, degrees): 3.8267 3.9831 5.4440 68.52 90.00 90.00
Each line ends with the local moment (μB).
Sites, in units of the cell vectors:
Mn1 0.0000 0.6949 0.4864  2.64
In1 0.5000 0.2759 0.3235  -0.06
In2 0.0000 0.9721 0.9297  -0.05
Si1 0.5000 0.5571 0.7604  -0.06

Summary:
Energy above the lowest structure with this stoichiometry ... 27.0 meV per atom
Formation energy from raw total energies ... 0.18 eV/atom
VASP energy ... -0.35572 Ry per atom

Entry from Alexandria via LeMat-Bulk: a relaxed structure of K3Sr2ReO6 (PBE-GGA).

Lattice parameters (Å, degrees): 6.1281 6.1281 6.5021 99.08 99.08 120.02
Each line ends with the local moment (μB).
Sites, in units of the cell vectors:
O1 0.3377 0.0627 0.1878  0.04
O2 0.0627 0.3377 0.1878  0.04
O3 0.6623 0.9373 0.8122  0.04
O4 0.7864 0.7864 0.1856  0.04
O5 0.2136 0.2136 0.8144  0.04
O6 0.9373 0.6623 0.8122  0.04
Sr1 0.3330 0.6670 0.0000  0.01
Sr2 0.6670 0.3330 0.0000  0.01
K1 0.1615 0.8385 0.5000  0.00
K2 0.8385 0.1615 0.5000  0.00
K3 0.5000 0.5000 0.5000  0.00
Re1 0.0000 0.0000 0.0000  1.47

Summary:
Formation energy from raw total energies ... -1.92 eV/atom
VASP energy ... -0.44008 Ry per atom

Entry from Alexandria via LeMat-Bulk: a relaxed structure of Mn2P (PBE-GGA).

Lattice parameters (Å, degrees): 4.2499 4.2499 6.3680 69.12 69.12 37.92
Sites, in units of the cell vectors:
Mn1 0.3468 0.3468 0.0466
Mn2 0.9895 0.9895 0.2936
Mn3 0.6532 0.6532 0.9534
Mn4 0.0105 0.0105 0.7064
P1 0.3147 0.3147 0.6346
P2 0.6853 0.6853 0.3654

Summary:
Energy relative to the elements ... -0.28 eV per atom
VASP energy ... -0.60239 Ry per atom

Entry from Alexandria via LeMat-Bulk: a relaxed structure of PmAg2S3 (PBE-GGA).

Lattice parameters (Å, degrees): 5.2567 7.4122 7.4122 113.15 90.00 90.00
Sites, in units of the cell vectors:
Ag1 0.5000 0.2131 0.2131
Ag2 0.0000 0.7869 0.7869
Ag3 0.5000 0.7869 0.7869
Ag4 0.0000 0.2131 0.2131
S1 0.7500 0.1436 0.4679
S2 0.2500 0.8690 0.1310
S3 0.7500 0.1310 0.8690
S4 0.7500 0.5321 0.8564
S5 0.2500 0.8564 0.5321
S6 0.2500 0.4679 0.1436
Pm1 0.2500 0.2640 0.7360
Pm2 0.7500 0.7360 0.2640

Summary:
Formation energy from raw total energies ... -0.59 eV/atom
VASP energy ... -0.32330 Ry per atom

Entry from Alexandria via LeMat-Bulk: a relaxed structure of CuAg2BiF8 (PBE-GGA).

Lattice parameters (Å, degrees): 4.0832 5.4747 7.9853 92.34 89.33 93.27
Each line ends with the local moment (μB).
Sites, in units of the cell vectors:
F1 0.6467 0.7639 0.0351  0.01
F2 0.0344 0.8585 0.7827  0.05
F3 0.4960 0.2195 0.4450  -0.03
F4 0.5040 0.7805 0.5550  -0.03
F5 0.0356 0.6620 0.3188  -0.04
F6 0.9656 0.1415 0.2173  0.05
F7 0.3533 0.2361 0.9649  0.01
F8 0.9644 0.3380 0.6812  -0.04
Cu1 0.0000 0.0000 0.0000  0.48
Ag1 0.5251 0.4874 0.2328  -0.25
Ag2 0.4749 0.5126 0.7672  -0.25
Bi1 0.0000 0.0000 0.5000  0.01

Summary:
Formation energy from raw total energies ... -1.63 eV/atom
VASP energy ... -0.29547 Ry per atom

Entry from Alexandria via LeMat-Bulk: a relaxed structure of La3Ce2YAs6 (PBE-GGA).

Lattice parameters (Å, degrees): 7.4080 7.4080 7.4277 99.57 99.57 119.99
Each line ends with the local moment (μB).
Sites, in units of the cell vectors:
As1 0.0793 0.4119 0.2380  -0.01
As2 0.5881 0.9207 0.7620  -0.01
As3 0.2529 0.2529 0.7610  -0.01
As4 0.7471 0.7471 0.2390  -0.01
As5 0.4119 0.0793 0.2380  -0.01
As6 0.9207 0.5881 0.7620  -0.01
Ce1 0.6666 0.3334 0.0000  0.57
Ce2 0.3334 0.6666 0.0000  0.57
La1 0.8331 0.1669 0.5000  0.01
La2 0.5000 0.5000 0.5000  0.01
La3 0.1669 0.8331 0.5000  0.01
Y1 0.0000 0.0000 0.0000  0.01

Summary:
Energy relative to the elements ... -1.52 eV per atom
VASP energy ... -0.48538 Ry per atom

Entry from Alexandria via LeMat-Bulk: a relaxed structure of PuBeSi2Pt4 (PBE-GGA).

Lattice parameters (Å, degrees): 4.1627 4.1627 8.9176 76.50 76.50 60.00
Each line ends with the local moment (μB).
Sites, in units of the cell vectors:
Be1 0.5000 0.5000 0.5000  0.00
Pt1 0.4097 0.4097 0.7708  -0.02
Pt2 0.8614 0.8614 0.4157  -0.01
Pt3 0.1386 0.1386 0.5843  -0.01
Pt4 0.5903 0.5903 0.2292  -0.02
Si1 0.2446 0.2446 0.2661  -0.01
Si2 0.7554 0.7554 0.7339  -0.01
Pu1 0.0000 0.0000 0.0000  5.11

Summary:
Formation energy from raw total energies ... -0.73 eV/atom
VASP energy ... -0.54085 Ry per atom

Entry from Alexandria via LeMat-Bulk: a relaxed structure of Pu2TiCl6 (PBE-GGA).

Lattice parameters (Å, degrees): 6.5772 6.5772 11.5858 90.00 90.00 90.00
Each line ends with the local moment (μB).
Sites, in units of the cell vectors:
Cl1 0.8025 0.1975 0.1527  -0.04
Cl2 0.7757 0.2243 0.5000  -0.04
Cl3 0.1975 0.8025 0.8473  -0.04
Cl4 0.8025 0.1975 0.8473  -0.04
Cl5 0.6975 0.6975 0.3473  -0.04
Cl6 0.1975 0.8025 0.1527  -0.04
Cl7 0.2757 0.2757 0.0000  -0.04
Cl8 0.3025 0.3025 0.3473  -0.04
Cl9 0.3025 0.3025 0.6527  -0.04
Cl10 0.6975 0.6975 0.6527  -0.04
Cl11 0.7243 0.7243 0.0000  -0.04
Cl12 0.2243 0.7757 0.5000  -0.04
Pu1 0.5000 0.5000 0.8358  5.69
Pu2 0.5000 0.5000 0.1642  5.69
Pu3 0.0000 0.0000 0.3358  5.69
Pu4 0.0000 0.0000 0.6642  5.69
Ti1 0.5000 0.5000 0.5000  1.76
Ti2 0.0000 0.0000 0.0000  1.76

Summary:
Formation energy from raw total energies ... -1.60 eV/atom
VASP energy ... -0.50675 Ry per atom

Entry from Alexandria via LeMat-Bulk: a relaxed structure of NdSm2Y4Sc (PBE-GGA).

Lattice parameters (Å, degrees): 9.4622 9.4622 11.7770 128.48 128.48 88.13
Each line ends with the local moment (μB).
Sites, in units of the cell vectors:
Y1 0.2371 0.7636 0.0004  0.21
Y2 0.7488 0.7492 0.9845  0.19
Y3 0.7629 0.2364 0.9996  0.21
Y4 0.2492 0.2488 0.4845  0.19
Y5 0.2636 0.7371 0.5004  0.21
Y6 0.7364 0.2629 0.4996  0.21
Y7 0.7508 0.7512 0.5155  0.19
Y8 0.2512 0.2508 0.0155  0.19
Sm1 0.5000 0.0000 0.0000  0.17
Sm2 0.0000 0.0000 0.5000  0.22
Sm3 0.5000 0.0000 0.5000  0.17
Sm4 0.5000 0.5000 0.0000  0.22
Sc1 0.5000 0.5000 0.5000  0.29
Sc2 0.0000 0.0000 0.0000  0.29
Nd1 0.0000 0.5000 0.5000  0.18
Nd2 0.0000 0.5000 0.0000  0.18

Summary:
Energy relative to the elements ... 0.42 eV per atom
VASP energy ... -0.39543 Ry per atom

Entry from Alexandria via LeMat-Bulk: a relaxed structure of LiThNiRh (PBE-GGA).

Lattice parameters (Å, degrees): 4.6786 4.6786 4.6786 60.00 60.00 60.00
Sites, in units of the cell vectors:
Rh1 0.7500 0.7500 0.7500
Th1 0.5000 0.5000 0.5000
Li1 0.0000 0.0000 0.0000
Ni1 0.2500 0.2500 0.2500

Summary:
Energy relative to the elements ... -0.36 eV per atom
VASP energy ... -0.43893 Ry per atom

Entry from Alexandria via LeMat-Bulk: a relaxed structure of Ac2Zn3Ga4Ru (PBE-GGA).

Lattice parameters (Å, degrees): 4.4357 4.4357 10.5623 90.00 90.00 90.00
Sites, in units of the cell vectors:
Ga1 0.0000 0.0000 0.0000
Ga2 0.0000 0.5000 0.3799
Ga3 0.5000 0.5000 0.0000
Ga4 0.5000 0.0000 0.6201
Ac1 0.5000 0.0000 0.2566
Ac2 0.0000 0.5000 0.7434
Ru1 0.5000 0.5000 0.5000
Zn1 0.0000 0.5000 0.1326
Zn2 0.0000 0.0000 0.5000
Zn3 0.5000 0.0000 0.8674

Summary:
Energy relative to the elements ... -0.41 eV per atom
VASP energy ... -0.27575 Ry per atom

Entry from Alexandria via LeMat-Bulk: a relaxed structure of AlCuRu2 (PBE-GGA).

Lattice parameters (Å, degrees): 2.9139 4.4558 4.2256 90.00 90.00 90.00
Each line ends with the local moment (μB).
Sites, in units of the cell vectors:
Al1 0.5000 0.0000 0.5000  -0.01
Ru1 0.5000 0.5000 0.0000  0.38
Ru2 0.0000 0.0000 0.0000  0.25
Cu1 0.0000 0.5000 0.5000  0.02

Summary:
Energy relative to the elements ... -0.02 eV per atom
VASP energy ... -0.48636 Ry per atom

Entry from Alexandria via LeMat-Bulk: a relaxed structure of Ca2PH (PBE-GGA).

Lattice parameters (Å, degrees): 4.0541 4.0541 7.1527 73.54 73.54 60.00
Sites, in units of the cell vectors:
Ca1 0.2627 0.2627 0.2120
Ca2 0.0770 0.0770 0.7689
P1 0.6686 0.6686 0.9942
H1 0.4917 0.4917 0.5249

Summary:
Energy above the lowest structure with this stoichiometry ... 190.7 meV per atom
VASP energy ... -0.28728 Ry per atom

Entry from Alexandria via LeMat-Bulk: a relaxed structure of AgPd7Pt4 (PBE-GGA).

Lattice parameters (Å, degrees): 2.7931 2.7931 27.7258 90.00 90.00 120.00
Sites, in units of the cell vectors:
Pt1 0.6667 0.3333 0.3308
Pt2 0.3333 0.6667 0.9172
Pt3 0.3333 0.6667 0.6692
Pt4 0.6667 0.3333 0.0828
Pd1 0.3333 0.6667 0.1657
Pd2 0.6667 0.3333 0.5857
Pd3 0.3333 0.6667 0.4143
Pd4 0.0000 0.0000 0.0000
Pd5 0.0000 0.0000 0.2476
Pd6 0.6667 0.3333 0.8343
Pd7 0.0000 0.0000 0.7524
Ag1 0.0000 0.0000 0.5000

Summary:
Energy relative to the elements ... -0.02 eV per atom
VASP energy ... -0.38967 Ry per atom

Entry from Alexandria via LeMat-Bulk: a relaxed structure of HfAlIr3 (PBE-GGA).

Lattice parameters (Å, degrees): 4.7997 4.7997 4.7997 90.00 90.00 90.00
Sites, in units of the cell vectors:
Ir1 0.5000 0.0000 0.0000
Ir2 0.0000 0.5000 0.0000
Ir3 0.0000 0.0000 0.5000
Al1 0.5000 0.5000 0.5000
Hf1 0.0000 0.0000 0.0000

Summary:
Energy above the lowest structure with this stoichiometry ... 1159.4 meV per atom
Energy relative to the elements ... 1.36 eV per atom
VASP energy ... -0.49224 Ry per atom

Entry from Alexandria via LeMat-Bulk: a relaxed structure of SmAlAg2Au4 (PBE-GGA).

Lattice parameters (Å, degrees): 4.8144 4.8144 8.1850 72.90 72.90 60.00
Sites, in units of the cell vectors:
Au1 0.6116 0.6116 0.1653
Au2 0.8660 0.8660 0.4020
Au3 0.3884 0.3884 0.8347
Au4 0.1340 0.1340 0.5980
Sm1 0.0000 0.0000 0.0000
Ag1 0.7432 0.7432 0.7705
Ag2 0.2568 0.2568 0.2295
Al1 0.5000 0.5000 0.5000

Summary:
Energy relative to the elements ... -0.38 eV per atom
VASP energy ... -0.27815 Ry per atom

Entry from Alexandria via LeMat-Bulk: a relaxed structure of Ba4SrIn5 (PBE-GGA).

Lattice parameters (Å, degrees): 4.2341 4.2341 21.2567 90.00 90.00 90.00
Sites, in units of the cell vectors:
In1 0.5000 0.5000 0.5000
In2 0.5000 0.5000 0.7023
In3 0.5000 0.5000 0.0875
In4 0.5000 0.5000 0.2977
In5 0.5000 0.5000 0.9125
Sr1 0.0000 0.0000 0.0000
Ba1 0.0000 0.0000 0.6017
Ba2 0.0000 0.0000 0.3983
Ba3 0.0000 0.0000 0.1937
Ba4 0.0000 0.0000 0.8063

Summary:
Energy relative to the elements ... -0.40 eV per atom
VASP energy ... -0.19891 Ry per atom

Entry from Alexandria via LeMat-Bulk: a relaxed structure of Mg3AlGa7 (PBE-GGA).

Lattice parameters (Å, degrees): 10.5842 10.5842 12.2765 90.00 90.00 161.37
Sites, in units of the cell vectors:
Ga1 0.5248 0.4752 0.6013
Ga2 0.6094 0.3906 0.1357
Ga3 0.2724 0.7276 0.9328
Ga4 0.3906 0.6094 0.8643
Ga5 0.5248 0.4752 0.8987
Ga6 0.4752 0.5248 0.3987
Ga7 0.6319 0.3681 0.7500
Ga8 0.7276 0.2724 0.4328
Ga9 0.3681 0.6319 0.2500
Ga10 0.2724 0.7276 0.5672
Ga11 0.7276 0.2724 0.0672
Ga12 0.4752 0.5248 0.1013
Ga13 0.6094 0.3906 0.3643
Ga14 0.3906 0.6094 0.6357
Mg1 0.2253 0.7747 0.2500
Mg2 0.8634 0.1366 0.4420
Mg3 0.1366 0.8634 0.5580
Mg4 0.7747 0.2253 0.7500
Mg5 0.1366 0.8634 0.9420
Mg6 0.8634 0.1366 0.0580
Al1 0.9713 0.0287 0.7500
Al2 0.0287 0.9713 0.2500

Summary:
Energy relative to the elements ... -0.01 eV per atom
VASP energy ... -0.19906 Ry per atom